A plane-wave DFT calculation with PBE was carried out for a relaxed NdZr2TaO8 crystal.

Summary:
Raw total energy = -9.294 eV per atom
DOS(E_F) = 0.0 states/eV per cell
Raw formation energy = -38.1 eV per formula unit

Cell lengths 6.9641, 7.0918, 6.7181 Å; angles 90.00, 90.00, 90.00 degrees
Closest atoms and distances in Å follow each position.
Space group Cmmm (No. 65)
One atom of each set of equivalent atoms:
Nd: 0.0000 0.0000 0.0000  6 O 2.30-2.36
Zr: 0.0000 0.5000 0.2533  6 O 2.11-2.22
Ta: 0.0000 0.0000 0.5000  6 O 1.99-2.07
O: 0.0000 0.2925 0.5000  1 Ta 2.07, 2 Zr 2.22
O: 0.0000 0.3236 0.0000  2 Zr 2.11, 1 Nd 2.30
O: 0.1978 0.0000 0.2857  1 Ta 1.99, 1 Zr 2.12

---

A plane-wave DFT calculation with PBE was carried out for a relaxed TlAuBrCl2 crystal.

Summary:
Raw total energy = -2.694 eV per atom
DOS(E_F) = 1.9 states/eV per cell
Raw formation energy = -2.5 eV per formula unit

Cell lengths 5.1110, 5.1110, 5.4307 Å; angles 90.00, 90.00, 90.00 degrees
Closest atoms and distances in Å follow each position.
Space group P4/mmm (No. 123)
One atom of each set of equivalent atoms:
Tl: 0.0000 0.0000 0.0000  4 Br 3.61, 8 Cl 3.73
Au: 0.5000 0.5000 0.5000  4 Cl 2.56, 2 Br 2.72
Br: 0.5000 0.5000 0.0000  2 Au 2.72
Cl: 0.0000 0.5000 0.5000  2 Au 2.56

---

A plane-wave DFT calculation with PBE was carried out for a relaxed LaNd2PuBi4 crystal.

Summary:
Energy of formation = -0.810 eV per atom
Raw total energy = -6.350 eV per atom
DOS(E_F) = 18.0 states/eV per cell

Cell lengths 7.9949, 4.6230, 8.0003 Å; angles 90.00, 109.46, 90.00 degrees
Closest atoms and distances in Å follow each position.
Space group P2/m (No. 10)
One atom of each set of equivalent atoms:
La: 0.0000 0.0000 0.0000  6 Bi 3.28-3.29
Nd: 0.0000 0.5000 0.5000  6 Bi 3.29
Nd: 0.5000 0.0000 0.5000  6 Bi 3.25
Pu: 0.5000 0.5000 0.0000  6 Bi 3.24
Bi: 0.2555 0.0000 0.7524  2 Pu 3.24, 3 Nd 3.25-3.29, 1 La 3.28
Bi: 0.2549 0.5000 0.2509  1 Pu 3.24, 3 Nd 3.25-3.29, 2 La 3.29

---

A plane-wave DFT calculation with PBE was carried out for a relaxed LiCoMo crystal.

Summary:
Energy above the lowest structure with this stoichiometry = 0 meV per atom
Energy of formation = 0.273 eV per atom
Raw total energy = -6.344 eV per atom
DOS(E_F) = 4.0 states/eV per cell

Cell lengths 4.1297, 4.1297, 2.5518 Å; angles 90.00, 90.00, 120.00 degrees
Closest atoms and distances in Å follow each position.
Space group P3m1 (No. 156)
One atom of each set of equivalent atoms:
Li: 0.0000 0.0000 0.0000  3 Co 2.50, 2 Li 2.55, 3 Mo 2.59
Co: 0.3333 0.6667 0.7042  3 Li 2.50, 3 Mo 2.51, 2 Co 2.55
Mo: 0.6667 0.3333 0.4013  3 Co 2.51, 2 Mo 2.55, 3 Li 2.59